Record 1
Mn2HRh | GGA-PBE | relaxed

Final energy = -7.051 eV per atom
Crystal system = tetragonal
Size of the total moment = 1.8207 μB per atom

Structure (POSCAR):
```
Mn2HRh
1.0
-2.883 2.883 2.766
2.883 -2.883 2.766
2.883 2.883 -2.766
Mn H Rh
4 2 2
direct
0.021 0.625 0.896
0.375 0.271 0.396
0.729 0.125 0.104
0.875 0.979 0.604
0.000 0.000 0.000
0.750 0.250 0.500
0.250 0.750 0.500
0.500 0.500 0.000
```

---

Record 2
SmHgPbAu | GGA-PBE | relaxed

Final energy = -3.461 eV per atom
Crystal system = cubic
Size of the total moment = 0.0000 μB per atom
Energy of formation from the pure elements = -0.460 eV/atom

Structure (POSCAR):
```
SmHgPbAu
1.0
0.000 3.682 3.682
3.682 0.000 3.682
3.682 3.682 0.000
Sm Hg Pb Au
1 1 1 1
direct
0.000 0.000 0.000
0.750 0.750 0.750
0.500 0.500 0.500
0.250 0.250 0.250
```

---

Record 3
CsZr2ScAl | GGA-PBE | relaxed

Final energy = -4.718 eV per atom
Crystal system = tetragonal
Size of the total moment = 0.0000 μB per atom
Energy of formation from the pure elements = 0.887 eV/atom

Structure (POSCAR):
```
CsZr2ScAl
1.0
5.346 0.000 0.000
0.000 5.346 0.000
0.000 0.000 5.329
Cs Zr Sc Al
1 2 1 1
direct
0.000 0.000 0.000
0.000 0.500 0.500
0.500 0.000 0.500
0.500 0.500 0.000
0.500 0.500 0.500
```

---

Record 4
Be2AsAu | GGA-PBE | relaxed

Final energy = -3.746 eV per atom
Crystal system = tetragonal
Size of the total moment = 0.0000 μB per atom
Energy of formation from the pure elements = 0.099 eV/atom

Structure (POSCAR):
```
Be2AsAu
1.0
-2.572 2.572 5.445
2.572 -2.572 5.445
2.572 2.572 -5.445
Be As Au
4 2 2
direct
0.099 0.625 0.974
0.375 0.349 0.474
0.651 0.125 0.026
0.875 0.901 0.526
0.000 0.000 0.000
0.750 0.250 0.500
0.250 0.750 0.500
0.500 0.500 0.000
```

---

Record 5
Pr2InFe2Rh5 | GGA-PBE | relaxed

Final energy = -6.934 eV per atom
Crystal system = tetragonal
Size of the total moment = 0.7554 μB per atom
Energy of formation from the pure elements = -0.335 eV/atom

Structure (POSCAR):
```
Pr2InFe2Rh5
1.0
9.760 0.000 0.000
0.000 9.760 0.000
0.000 0.000 3.784
Pr In Fe Rh
4 2 4 10
direct
0.181 0.319 0.000
0.319 0.819 0.000
0.681 0.181 0.000
0.819 0.681 0.000
0.000 0.000 0.000
0.500 0.500 0.000
0.116 0.616 0.000
0.384 0.116 0.000
0.616 0.884 0.000
0.884 0.384 0.000
0.000 0.500 0.500
0.065 0.785 0.500
0.215 0.065 0.500
0.285 0.565 0.500
0.435 0.285 0.500
0.500 0.000 0.500
0.565 0.715 0.500
0.715 0.435 0.500
0.785 0.935 0.500
0.935 0.215 0.500
```

---

Record 6
ScMnZn | GGA-PBE | relaxed

Final energy = -4.938 eV per atom
Crystal system = cubic
Size of the total moment = 1.1886 μB per atom
Energy of formation from the pure elements = 0.654 eV/atom

Structure (POSCAR):
```
ScMnZn
1.0
0.000 3.172 3.172
3.172 0.000 3.172
3.172 3.172 0.000
Sc Mn Zn
1 1 1
direct
0.000 0.000 0.000
0.250 0.250 0.250
0.750 0.750 0.750
```

---

Record 7
TaCr2HRu | GGA-PBE | relaxed

Final energy = -8.663 eV per atom
Crystal system = tetragonal
Size of the total moment = 0.3697 μB per atom

Structure (POSCAR):
```
TaCr2HRu
1.0
3.754 0.000 0.000
0.000 3.754 0.000
0.000 0.000 4.149
Ta Cr H Ru
1 2 1 1
direct
0.000 0.000 0.000
0.000 0.500 0.500
0.500 0.000 0.500
0.500 0.500 0.500
0.500 0.500 0.000
```

---

Record 8
YNi2HCl | GGA-PBE | relaxed

Final energy = -4.961 eV per atom
Crystal system = tetragonal
Size of the total moment = 0.0000 μB per atom

Structure (POSCAR):
```
YNi2HCl
1.0
3.677 0.000 0.000
0.000 3.677 0.000
0.000 0.000 5.255
Y Ni H Cl
1 2 1 1
direct
0.000 0.000 0.000
0.000 0.500 0.500
0.500 0.000 0.500
0.500 0.500 0.500
0.500 0.500 0.000
```

---

Record 9
ScPd2Au | GGA-PBE | relaxed

Final energy = -5.826 eV per atom
Crystal system = tetragonal
Size of the total moment = 0.0000 μB per atom
Energy of formation from the pure elements = -0.827 eV/atom

Structure (POSCAR):
```
ScPd2Au
1.0
4.120 0.000 0.000
0.000 4.120 0.000
0.000 0.000 3.924
Sc Pd Au
1 2 1
direct
0.000 0.000 0.000
0.000 0.500 0.500
0.500 0.000 0.500
0.500 0.500 0.000
```

---

Record 10
HfTe2IBr | GGA-PBE | relaxed

Final energy = -2.857 eV per atom
Formation energy from raw total energies = 499 kJ/mol of formula units
Crystal system = tetragonal
Size of the total moment = 0.1481 μB per atom

Structure (POSCAR):
```
HfTe2IBr
1.0
5.630 0.000 0.000
0.000 5.630 0.000
0.000 0.000 5.444
Hf Te I Br
1 2 1 1
direct
0.000 0.000 0.000
0.000 0.500 0.500
0.500 0.000 0.500
0.500 0.500 0.000
0.500 0.500 0.500
```

---

Record 11
MoPt4Rh5 | GGA-PBE | relaxed

Final energy = -6.990 eV per atom
Crystal system = monoclinic
Size of the total moment = 0.0000 μB per atom
Energy of formation from the pure elements = 0.185 eV/atom

Structure (POSCAR):
```
MoPt4Rh5
1.0
6.594 -1.363 0.000
6.594 1.363 0.000
-0.739 0.000 9.249
Mo Pt Rh
1 4 5
direct
0.000 0.000 0.000
0.168 0.168 0.202
0.483 0.483 0.253
0.517 0.517 0.747
0.832 0.832 0.798
0.000 0.000 0.500
0.331 0.331 0.550
0.332 0.332 0.052
0.668 0.668 0.948
0.669 0.669 0.450
```